--- P ---
Density functional theory data (PBE-GGA) for BeCo2Cl after structural relaxation.

POSCAR file:
```
BeCo2Cl
1.0
2.8112 0.0000 0.0000
0.0000 2.8112 0.0000
0.0000 0.0000 7.1363
Be Co Cl
1 2 1
Cartesian
0.0000 0.0000 0.0000
0.0000 0.0000 4.6214
1.4056 1.4056 6.1604
1.4056 1.4056 3.1241
```

Output
The density of states at the Fermi level is 2.66 states/eV/f.u.

---

--- Q ---
Density functional theory data (PBE-GGA) for BeCo2Cl after structural relaxation.

POSCAR file:
```
BeCo2Cl
1.0
5.7894 0.0000 0.0000
0.0000 5.7894 0.0000
0.0000 0.0000 5.7894
Be Co Cl
4 8 4
Cartesian
0.0000 0.0000 0.0000
0.0000 2.8947 2.8947
2.8947 0.0000 2.8947
2.8947 2.8947 0.0000
0.0000 0.0000 2.8947
0.0000 2.8947 0.0000
1.4473 1.4473 4.3420
1.4473 4.3420 1.4473
2.8947 0.0000 0.0000
2.8947 2.8947 2.8947
4.3420 1.4473 1.4473
4.3420 4.3420 4.3420
1.4473 1.4473 1.4473
1.4473 4.3420 4.3420
4.3420 1.4473 4.3420
4.3420 4.3420 1.4473
```

Output
The density of states at the Fermi level is 5.10 states/eV/f.u.

---

--- R ---
Density functional theory data (PBE-GGA) for BeCo2Cl after structural relaxation.

POSCAR file:
```
BeCo2Cl
1.0
7.3246 0.0000 0.0000
0.0000 2.9182 0.0000
-3.5452 0.0000 5.7148
Be Co Cl
2 4 2
Cartesian
0.0000 0.0000 0.0000
3.6623 1.4591 0.0000
-1.4377 0.0000 4.8729
0.6065 0.0000 3.9852
2.2246 1.4591 4.8729
4.2688 1.4591 3.9852
0.9679 0.0000 1.7139
4.6302 1.4591 1.7139
```

Output
The density of states at the Fermi level is 2.46 states/eV/f.u.

---

Stability, highest: R

---

--- P ---
Density functional theory data (PBE-GGA) for BeCo2Cl after structural relaxation.

POSCAR file:
```
BeCo2Cl
1.0
2.7788 0.0000 0.0000
0.0000 3.3428 0.0000
0.0000 0.0000 11.0775
Be Co Cl
2 4 2
Cartesian
0.0000 0.0000 0.0000
1.3894 1.6714 5.5388
0.0000 0.0000 4.9216
0.0000 1.6714 1.3933
1.3894 0.0000 6.9320
1.3894 1.6714 10.4604
0.0000 1.6714 8.4616
1.3894 0.0000 2.9229
```

Output
The density of states at the Fermi level is 4.47 states/eV/f.u.

---

--- Q ---
Density functional theory data (PBE-GGA) for BeCo2Cl after structural relaxation.

POSCAR file:
```
BeCo2Cl
1.0
3.6250 0.0000 0.0000
0.0000 3.6250 0.0000
0.0000 0.0000 14.8103
Be Co Cl
4 8 4
Cartesian
0.0000 0.0000 0.0000
0.0000 1.8125 3.7026
1.8125 0.0000 11.1077
1.8125 1.8125 7.4052
0.8693 0.9063 1.8513
0.9063 2.6818 5.5539
0.9063 2.7557 12.9590
0.9432 0.9063 9.2564
2.6818 2.7188 9.2564
2.7188 0.8693 12.9590
2.7188 0.9432 5.5539
2.7557 2.7188 1.8513
0.0000 0.0000 7.4052
0.0000 1.8125 11.1077
1.8125 0.0000 3.7026
1.8125 1.8125 0.0000
```

Output
The density of states at the Fermi level is 3.80 states/eV/f.u.

---

Stability, highest: P

---

--- P ---
Density functional theory data (PBE-GGA) for Be2CoCl after structural relaxation.

POSCAR file:
```
Be2CoCl
1.0
4.7849 0.0000 0.0000
0.0000 7.9693 0.0000
-1.5370 0.0000 2.3527
Be Co Cl
4 2 2
Cartesian
1.1962 1.9923 0.0000
1.1962 5.9770 0.0000
3.5887 1.9923 0.0000
3.5887 5.9770 0.0000
0.0000 0.0000 0.0000
2.3925 3.9846 0.0000
0.0000 3.9846 0.0000
2.3925 0.0000 0.0000
```

Output
The density of states at the Fermi level is 1.67 states/eV/f.u.

---

--- Q ---
Density functional theory data (PBE-GGA) for Be2CoCl after structural relaxation.

POSCAR file:
```
Be2CoCl
1.0
2.8295 0.0000 0.0000
0.0000 2.8295 0.0000
0.0000 0.0000 5.8007
Be Co Cl
2 1 1
Cartesian
0.0000 0.0000 1.0738
0.0000 0.0000 4.7270
1.4148 1.4148 0.0000
1.4148 1.4148 2.9004
```

Output
The density of states at the Fermi level is 1.08 states/eV/f.u.

---

Stability, highest: Q

---

--- P ---
Density functional theory data (PBE-GGA) for Be2CoCl after structural relaxation.

POSCAR file:
```
Be2CoCl
1.0
2.8548 0.0000 0.0000
-1.4274 2.4723 0.0000
0.0000 0.0000 19.9522
Be Co Cl
6 3 3
Cartesian
0.0000 0.0000 4.8882
0.0000 0.0000 15.0641
0.0000 1.6482 8.4133
0.0000 1.6482 18.1897
1.4274 0.8241 1.7626
1.4274 0.8241 11.5389
0.0000 0.0000 9.9761
0.0000 1.6482 3.3254
1.4274 0.8241 16.6269
0.0000 0.0000 0.0000
0.0000 1.6482 13.3015
1.4274 0.8241 6.6507
```

Output
The density of states at the Fermi level is 2.40 states/eV/f.u.

---

--- Q ---
Density functional theory data (PBE-GGA) for Be2CoCl after structural relaxation.

POSCAR file:
```
Be2CoCl
1.0
2.9442 0.0000 0.0000
0.0000 3.0140 0.0000
-0.5278 0.0000 6.9498
Be Co Cl
2 1 1
Cartesian
0.0000 0.0000 0.0000
-0.0038 1.5070 2.0010
1.4717 1.5070 0.2677
0.0009 0.0000 3.3198
```

Output
The density of states at the Fermi level is 1.16 states/eV/f.u.

---

--- R ---
Density functional theory data (PBE-GGA) for Be2CoCl after structural relaxation.

POSCAR file:
```
Be2CoCl
1.0
2.7989 0.0000 0.0000
0.0000 2.8731 0.0000
0.0000 0.0000 5.8508
Be Co Cl
2 1 1
Cartesian
0.0000 0.0000 1.1057
0.0000 0.0000 4.7451
1.3994 1.4366 0.0000
1.3994 0.0000 2.9254
```

Output
The density of states at the Fermi level is 1.22 states/eV/f.u.

---

Stability, highest: R

---

--- P ---
Density functional theory data (PBE-GGA) for Be3CoCl after structural relaxation.

POSCAR file:
```
Be3CoCl
1.0
4.1231 0.0000 0.0000
0.0000 4.1231 0.0000
0.0000 0.0000 4.1231
Be Co Cl
3 1 1
Cartesian
0.0000 0.0000 2.0616
0.0000 2.0616 0.0000
2.0616 0.0000 0.0000
0.0000 0.0000 0.0000
2.0616 2.0616 2.0616
```

Output
The density of states at the Fermi level is 2.79 states/eV/f.u.

---

--- Q ---
Density functional theory data (PBE-GGA) for Be3CoCl after structural relaxation.

POSCAR file:
```
Be3CoCl
1.0
3.9823 0.0000 0.0000
0.0000 3.9823 0.0000
0.0000 0.0000 3.9823
Be Co Cl
3 1 1
Cartesian
0.0000 0.0000 1.9911
0.0000 1.9911 0.0000
1.9911 0.0000 0.0000
1.9911 1.9911 1.9911
0.0000 0.0000 0.0000
```

Output
The density of states at the Fermi level is 12.15 states/eV/f.u.

---

Stability, highest: P

---

--- P ---
Density functional theory data (PBE-GGA) for BeCoPCl2 after structural relaxation.

POSCAR file:
```
BeCoPCl2
1.0
4.6565 0.0000 0.0000
0.0000 4.6565 0.0000
0.0000 0.0000 4.3320
Be Co P Cl
1 1 1 2
Cartesian
0.0000 0.0000 0.0000
2.3282 2.3282 2.1660
2.3282 2.3282 0.0000
0.0000 2.3282 2.1660
2.3282 0.0000 2.1660
```

Output
The density of states at the Fermi level is 2.61 states/eV/f.u.

---

--- Q ---
Density functional theory data (PBE-GGA) for BeCoPCl2 after structural relaxation.

POSCAR file:
```
BeCoPCl2
1.0
4.0133 0.0000 0.0000
0.0000 4.0133 0.0000
0.0000 0.0000 6.5645
Be Co P Cl
1 1 1 2
Cartesian
0.0000 0.0000 0.0000
2.0067 2.0067 3.2823
0.0000 0.0000 3.2823
0.0000 2.0067 0.0000
2.0067 0.0000 0.0000
```

Output
The density of states at the Fermi level is 3.80 states/eV/f.u.

---

Stability, highest: Q